[1]
Compound: La2YTc
Source: the Alexandria database
Functional: PBE
Structure: relaxed

Results
Polymorph energy (0 for the lowest one) (meV/atom): 372.5

abc: 7.5491 7.5491 7.5491
angles: 90.00 90.00 90.00
With the nearest neighbours (Å) after each atom.
Space group Fm-3m (No. 225)
Inequivalent atoms, fractional coordinates:
La (0.2500, 0.2500, 0.2500) (multiplicity 8)  4 Tc 3.27, 4 Y 3.27
Y (0.0000, 0.0000, 0.0000) (multiplicity 4)  8 La 3.27
Tc (0.0000, 0.0000, 0.5000) (multiplicity 4)  8 La 3.27

***

[2]
Compound: MgAsRu2
Source: the Alexandria database
Functional: PBE
Structure: relaxed

abc: 6.2525 6.2525 6.2525
angles: 90.00 90.00 90.00
With the nearest neighbours (Å) after each atom.
Space group F-43m (No. 216)
Inequivalent atoms, fractional coordinates:
Mg (0.0000, 0.0000, 0.0000) (multiplicity 4)  4 As 2.71, 4 Ru 2.71
As (0.2500, 0.2500, 0.7500) (multiplicity 4)  4 Ru 2.71, 4 Mg 2.71
Ru (0.0000, 0.0000, 0.5000) (multiplicity 4)  4 As 2.71, 4 Ru 2.71
Ru (0.2500, 0.2500, 0.2500) (multiplicity 4)  4 Ru 2.71, 4 Mg 2.71

***

Number 1: ΔE_f 0.333 eV per atom. Number 2: ΔE_f 0.181 eV per atom.